(1)
First-principles (PBE-GGA) data for a relaxed Nd2NiRh crystal, as listed in the Alexandria database.

Lattice parameters (Å, degrees): 5.847 4.149 7.961 90.00 109.89 90.00
Space group P2_1/m (No. 11)
Asymmetric unit:
Nd (0.220, 0.250, 0.429) (multiplicity 2)
Nd (0.221, 0.250, 0.931) (multiplicity 2)
Ni (0.348, 0.750, 0.211) (multiplicity 2)
Rh (0.342, 0.750, 0.713) (multiplicity 2)

Calculated values
Uncorrected energy (eV per cell): -49.5
Formation energy (eV per atom): -0.520
Volume (Å³ per atom): 22.70
Total magnetization (μB/f.u.): 0.00

---

(2)
First-principles (PBE-GGA) data for a relaxed LiCu2Ru crystal, as listed in the Alexandria database.

Lattice parameters (Å, degrees): 2.573 4.376 4.478 90.00 90.00 90.00
Space group Pmmm (No. 47)
Asymmetric unit:
Li (0.000, 0.000, 0.000) (multiplicity 1)
Cu (0.000, 0.500, 0.500) (multiplicity 1)
Cu (0.500, 0.000, 0.500) (multiplicity 1)
Ru (0.500, 0.500, 0.000) (multiplicity 1)

Calculated values
Uncorrected energy (eV per cell): -18.5
Formation energy (eV per atom): 0.229
Volume (Å³ per atom): 12.61
Total magnetization (μB/f.u.): 0.25
E above lowest polymorph (meV per atom): 192

---

(3)
First-principles (PBE-GGA) data for a relaxed LiDy4Al3 crystal, as listed in the Alexandria database.

Lattice parameters (Å, degrees): 5.065 5.065 14.775 90.00 90.00 90.00
Space group I4/mmm (No. 139)
Asymmetric unit:
Li (0.000, 0.000, 0.000) (multiplicity 2)
Dy (0.000, 0.500, 0.127) (multiplicity 8)
Al (0.000, 0.000, 0.248) (multiplicity 4)
Al (0.000, 0.000, 0.500) (multiplicity 2)

Calculated values
Uncorrected energy (eV per cell): -68.3
Formation energy (eV per atom): -0.325
Volume (Å³ per atom): 23.69
Total magnetization (μB/f.u.): 0.00

---

(4)
First-principles (PBE-GGA) data for a relaxed Sr2DyI crystal, as listed in the Alexandria database.

Lattice parameters (Å, degrees): 3.9666 3.9666 37.2317 90.00 90.00 120.00
Space group R-3m (No. 166, hexagonal axes)
Asymmetric unit:
Sr (0.0000, 0.0000, 0.0977) (multiplicity 6)
Dy (0.0000, 0.0000, 0.0000) (multiplicity 3)
I (0.0000, 0.0000, 0.5000) (multiplicity 3)

Calculated values
Uncorrected energy (eV per cell): -30.8
Volume (Å³ per atom): 42.28
Total magnetization (μB/f.u.): 0.72

---

(5)
First-principles (PBE-GGA) data for a relaxed BeNi2Pd2 crystal, as listed in the Alexandria database.

Lattice parameters (Å, degrees): 5.832 5.832 3.943 90.00 90.00 90.00
Space group P4/mbm (No. 127)
Asymmetric unit:
Be (0.000, 0.000, 0.000) (multiplicity 2)
Ni (0.148, 0.352, 0.500) (multiplicity 4)
Pd (0.158, 0.658, 0.000) (multiplicity 4)

Calculated values
Uncorrected energy (eV per cell): -50.4
Formation energy (eV per atom): 0.100
Volume (Å³ per atom): 13.41
Total magnetization (μB/f.u.): 1.62
E above lowest polymorph (meV per atom): 84

---

Copy entry 4 word for word.
First-principles (PBE-GGA) data for a relaxed Sr2DyI crystal, as listed in the Alexandria database.

Lattice parameters (Å, degrees): 3.9666 3.9666 37.2317 90.00 90.00 120.00
Space group R-3m (No. 166, hexagonal axes)
Asymmetric unit:
Sr (0.0000, 0.0000, 0.0977) (multiplicity 6)
Dy (0.0000, 0.0000, 0.0000) (multiplicity 3)
I (0.0000, 0.0000, 0.5000) (multiplicity 3)

Calculated values
Uncorrected energy (eV per cell): -30.8
Volume (Å³ per atom): 42.28
Total magnetization (μB/f.u.): 0.72

---

- Look up the volume of the fifth one.
  13.41 Å³ per atom